{"formula": "NaSb2Au", "functional": "GGA-PBE", "state": "optimized geometry", "lattice_angstrom": [[4.433, 0.000, 0.000], [0.000, 4.612, 0.000], [0.000, 0.000, 4.612]], "species": ["Sb", "Au", "Na", "Sb"], "fractional_positions": [[0.000, 0.500, 0.000], [0.500, 0.000, 0.000], [0.500, 0.500, 0.500], [0.000, 0.000, 0.500]], "polymorph_energy_mev_per_atom": 99, "total_magnetization_mub_per_cell": 0.0, "formation_energy_uncorrected_ev_per_atom": -0.114}